No. 1
Below is a relaxed structure of PmDyF5, with properties calculated at the PBE level.

```
PmDyF5
1.0
4.8872 -3.5909 0.0000
4.8872 3.5909 0.0000
-3.3355 0.0000 7.3923
Pm Dy F
2 2 10
Direct
0.0066 0.9934 0.7500
0.9934 0.0066 0.2500
0.5000 0.5000 0.0000
0.5000 0.5000 0.5000
0.1738 0.8232 0.4872
0.1768 0.8262 0.0128
0.2478 0.2605 0.3764
0.2605 0.2478 0.8764
0.3421 0.6579 0.7500
0.6579 0.3421 0.2500
0.7395 0.7522 0.1236
0.7522 0.7395 0.6236
0.8232 0.1738 0.9872
0.8262 0.1768 0.5128
```

Properties
- Total energy: -6.480 eV per atom
- Uncorrected formation energy: -3.807 eV per atom

***

No. 2
Below is a relaxed structure of Pm2DyF8, with properties calculated at the PBE level.

```
Pm2DyF8
1.0
5.9877 -1.9638 0.0000
5.9877 1.9638 0.0000
-1.8258 0.0000 8.1314
Pm Dy F
2 1 8
Direct
0.2477 0.2477 0.3048
0.7523 0.7523 0.6952
0.5000 0.5000 0.0000
0.0593 0.0593 0.1427
0.1699 0.1699 0.5486
0.3021 0.3021 0.8663
0.4049 0.4049 0.1976
0.5951 0.5951 0.8024
0.6979 0.6979 0.1337
0.8301 0.8301 0.4514
0.9407 0.9407 0.8573
```

Properties
- Total energy: -6.479 eV per atom
- Energy relative to the lowest polymorph listed for this composition: 8.0 meV/atom
- Uncorrected formation energy: -3.836 eV per atom

***

No. 3
Below is a relaxed structure of PmDy2F8, with properties calculated at the PBE level.

```
PmDy2F8
1.0
7.7145 -1.7851 0.0000
7.7145 1.7851 0.0000
-1.9669 0.0000 5.3320
Pm Dy F
1 2 8
Direct
0.0000 0.0000 0.0000
0.3187 0.3187 0.3165
0.6813 0.6813 0.6835
0.1022 0.1022 0.4426
0.1826 0.1826 0.9592
0.2798 0.2798 0.6710
0.4482 0.4482 0.2286
0.5518 0.5518 0.7714
0.7202 0.7202 0.3290
0.8174 0.8174 0.0408
0.8978 0.8978 0.5574
```

Properties
- Total energy: -6.528 eV per atom
- Uncorrected formation energy: -3.899 eV per atom

***

Look up the uncorrected formation energy of the first one.
-3.807 eV per atom

***

Which of these has the lowest total energy?
PmDy2F8